(1)
A relaxed structure of CaGdSc2. Source: Alexandria via LeMat-Bulk, functional PBE-GGA.

The structure in POSCAR format:
```
CaGdSc2
1.0
3.4939 0.0000 0.0000
0.0000 3.4939 0.0000
0.0000 0.0000 9.7976
Ca Gd Sc
1 1 2
direct
0.0000 0.0000 0.0000
0.0000 0.0000 0.5000
0.5000 0.5000 0.2702
0.5000 0.5000 0.7298
```

Calculated values
N(E_F) (states/eV per atom): 1.855
SG: P4/mmm
Energy (eV/f.u.): -28.152

***

(2)
A relaxed structure of CaGdSc. Source: Alexandria via LeMat-Bulk, functional PBE-GGA.

The structure in POSCAR format:
```
CaGdSc
1.0
3.5429 0.0000 0.0000
-1.7714 3.0682 0.0000
0.0000 0.0000 8.8037
Ca Gd Sc
1 1 1
direct
0.0000 0.0000 0.0000
0.3333 0.6667 0.6326
0.6667 0.3333 0.3351
```

Calculated values
N(E_F) (states/eV per atom): 1.775
SG: P3m1
Energy (eV/f.u.): -22.018

***

Number 1: relative energy among the computed polymorphs 0 meV/atom, M_tot 6.53 μB per cell. Number 2: relative energy among the computed polymorphs 22 meV/atom, M_tot 7.49 μB per cell.